(1)
MgSc6Ag5 after structural relaxation. Source: Alexandria, functional PBE-GGA.

abc: 8.4814 8.4814 8.4814
angles: 146.43 132.28 59.60
Closest atoms and distances in Å follow each position.
Atoms (fractional coordinates):
1 Mg 0.0000 0.0000 0.0000  8 Sc 3.03-3.05, 4 Ag 3.35
2 Sc 0.0834 0.8296 0.2538  7 Ag 2.96-3.07, 1 Mg 3.05
3 Sc 0.2598 0.5000 0.7598  6 Ag 2.90-2.96, 2 Mg 3.03
4 Sc 0.4243 0.1704 0.2538  7 Ag 2.96-3.07, 1 Mg 3.05
5 Sc 0.5757 0.8296 0.7462  7 Ag 2.96-3.07, 1 Mg 3.05
6 Sc 0.7402 0.5000 0.2402  6 Ag 2.90-2.96, 2 Mg 3.03
7 Sc 0.9166 0.1704 0.7462  7 Ag 2.96-3.07, 1 Mg 3.05
8 Ag 0.1556 0.6556 0.5000  8 Sc 2.90-3.07
9 Ag 0.3330 0.3330 0.0000  8 Sc 2.96-2.98
10 Ag 0.5000 0.0000 0.5000  8 Sc 2.95-3.02
11 Ag 0.6670 0.6670 0.0000  8 Sc 2.96-2.98
12 Ag 0.8444 0.3444 0.5000  8 Sc 2.90-3.07

Output
- density of states at the Fermi level (states/eV/f.u.) = 9.78
- formation energy (eV/atom) = -0.231

(2)
ThAsRuN2 after structural relaxation. Source: Alexandria, functional PBE-GGA.

abc: 5.9456 5.9456 7.0812
angles: 90.00 90.00 142.14
Closest atoms and distances in Å follow each position.
Atoms (fractional coordinates):
1 Th 0.2280 0.7720 0.7500  6 N 2.46-2.49
2 Th 0.7720 0.2280 0.2500  6 N 2.46-2.49
3 As 0.0462 0.9538 0.2500  4 Ru 2.67
4 As 0.9538 0.0462 0.7500  4 Ru 2.67
5 Ru 0.5000 0.5000 0.0000  2 N 1.92
6 Ru 0.5000 0.5000 0.5000  2 N 1.92
7 N 0.3334 0.6666 0.0587  1 Ru 1.92
8 N 0.3334 0.6666 0.4413  1 Ru 1.92
9 N 0.6666 0.3334 0.5587  1 Ru 1.92
10 N 0.6666 0.3334 0.9413  1 Ru 1.92

Output
- density of states at the Fermi level (states/eV/f.u.) = 3.31
- E_form (uncorrected) (meV/atom) = -557

(3)
ReSi2Au after structural relaxation. Source: Alexandria, functional PBE-GGA.

abc: 2.8774 2.8774 7.5332
angles: 90.00 90.00 90.00
Closest atoms and distances in Å follow each position.
Atoms (fractional coordinates):
1 Re 0.0000 0.0000 0.0000  4 Si 2.52
2 Si 0.0000 0.0000 0.4336  8 Si 2.71-2.88, 4 Au 2.99
3 Si 0.5000 0.5000 0.1964  4 Re 2.52, 4 Si 2.71
4 Au 0.5000 0.5000 0.7242  4 Au 2.88, 4 Re 2.91, 4 Si 2.99

Output
- density of states at the Fermi level (states/eV/f.u.) = 2.31
- E_form (uncorrected) (meV/atom) = 423
- energy above the most stable polymorph in this dataset (eV per atom) = 0.442

(4)
Ag8Pd2Au after structural relaxation. Source: Alexandria, functional PBE-GGA.

abc: 7.7162 7.7162 6.4749
angles: 104.51 104.51 30.90
Closest atoms and distances in Å follow each position.
Atoms (fractional coordinates):
1 Ag 0.0467 0.0467 0.2270  9 Ag 2.90-2.95, 1 Pd 2.90, 2 Au 2.91
2 Ag 0.1389 0.1389 0.6879  3 Pd 2.85-2.88, 7 Ag 2.88-2.95, 2 Au 2.94
3 Ag 0.3171 0.3171 0.5900  8 Ag 2.88-2.92, 3 Pd 2.90-2.91, 1 Au 2.93
4 Ag 0.4061 0.4061 0.0427  3 Pd 2.87-2.88, 8 Ag 2.88-2.98, 1 Au 2.93
5 Ag 0.5939 0.5939 0.9573  3 Pd 2.87-2.88, 8 Ag 2.88-2.98, 1 Au 2.93
6 Ag 0.6829 0.6829 0.4100  8 Ag 2.88-2.92, 3 Pd 2.90-2.91, 1 Au 2.93
7 Ag 0.8611 0.8611 0.3121  3 Pd 2.85-2.88, 7 Ag 2.88-2.95, 2 Au 2.94
8 Ag 0.9533 0.9533 0.7730  9 Ag 2.90-2.95, 1 Pd 2.90, 2 Au 2.91
9 Pd 0.2274 0.2274 0.1351  10 Ag 2.85-2.91, 2 Pd 2.89
10 Pd 0.7726 0.7726 0.8649  10 Ag 2.85-2.91, 2 Pd 2.89
11 Au 0.5000 0.5000 0.5000  12 Ag 2.91-2.94

Output
- density of states at the Fermi level (states/eV/f.u.) = 3.55
- formation energy (eV/atom) = -0.031
- energy above the most stable polymorph in this dataset (eV per atom) = 0.000

(5)
CrSiMo2 after structural relaxation. Source: Alexandria, functional PBE-GGA.

abc: 2.7129 4.1210 5.1809
angles: 90.00 104.40 90.00
Closest atoms and distances in Å follow each position.
Atoms (fractional coordinates):
1 Cr 0.0000 0.0000 0.0000  2 Si 2.59, 4 Mo 2.59, 2 Cr 2.71
2 Si 0.0000 0.0000 0.5000  2 Cr 2.59, 8 Mo 2.66-2.89, 2 Si 2.71
3 Mo 0.4702 0.5000 0.2501  4 Mo 2.55-2.71, 2 Cr 2.59, 2 Si 2.66
4 Mo 0.5298 0.5000 0.7499  4 Mo 2.55-2.71, 2 Cr 2.59, 2 Si 2.66

Output
- density of states at the Fermi level (states/eV/f.u.) = 3.27
- E_form (uncorrected) (meV/atom) = -26

(6)
MnBeSb2 after structural relaxation. Source: Alexandria, functional PBE-GGA.

abc: 6.0549 7.3591 3.6636
angles: 90.00 104.33 90.00
Closest atoms and distances in Å follow each position.
Atoms (fractional coordinates):
1 Mn 0.0000 0.0000 0.0000  4 Sb 2.77, 2 Be 3.03
2 Mn 0.5000 0.5000 0.0000  4 Sb 2.77, 2 Be 3.03
3 Be 0.0000 0.5000 0.0000  4 Sb 2.77, 2 Mn 3.03
4 Be 0.5000 0.0000 0.0000  4 Sb 2.77, 2 Mn 3.03
5 Sb 0.2500 0.2500 0.5000  2 Mn 2.77, 2 Be 2.77, 2 Sb 3.03
6 Sb 0.2500 0.7500 0.5000  2 Mn 2.77, 2 Be 2.77, 2 Sb 3.03
7 Sb 0.7500 0.2500 0.5000  2 Mn 2.77, 2 Be 2.77, 2 Sb 3.03
8 Sb 0.7500 0.7500 0.5000  2 Mn 2.77, 2 Be 2.77, 2 Sb 3.03

Output
- density of states at the Fermi level (states/eV/f.u.) = 2.25
- E_form (uncorrected) (meV/atom) = 495

Q: Number 1 is which compound?
A: MgSc6Ag5